# 1
DFT (PBE) results for a geometry-optimized Na5ZnBi2 structure.

Summary:
For the mass density, the calculation gives 3.9 g cm⁻³. Its density of states at the Fermi level is 3.1 states/eV/f.u. For the formation energy, the calculation gives -1.89 eV per formula unit. The total magnetization is 0.0 μB/cell.

Lattice parameters (Å, degrees): 5.4728 5.4728 19.5320 90.00 90.00 120.00
Last column: nearest neighbours and their distance in Å.
Space group P6_3/mmc (No. 194)
One atom of each set of equivalent atoms:
Na  0.0000  0.0000  0.1485 (multiplicity 4)  3 Bi 3.23
Na  0.3333  0.6667  0.0555 (multiplicity 4)  4 Bi 3.31-3.36, 3 Na 3.64
Na  0.3333  0.6667  0.2500 (multiplicity 2)  3 Zn 3.16
Zn  0.3333  0.6667  0.7500 (multiplicity 2)  2 Bi 2.66
Bi  0.3333  0.6667  0.6137 (multiplicity 4)  1 Zn 2.66

# 2
DFT (PBE) results for a geometry-optimized DyMgZn2Ag5 structure.

Summary:
For the mass density, the calculation gives 7.9 g cm⁻³. Its density of states at the Fermi level is 3.8 states/eV/f.u. For the formation energy, the calculation gives -0.30 eV per formula unit. The total magnetization is 0.0 μB/cell.

Lattice parameters (Å, degrees): 4.8192 4.8192 7.7917 90.00 90.00 90.00
Last column: nearest neighbours and their distance in Å.
Space group P4/mmm (No. 123)
One atom of each set of equivalent atoms:
Dy  0.0000  0.0000  0.0000 (multiplicity 1)  12 Ag 3.05-3.41
Mg  0.0000  0.0000  0.5000 (multiplicity 1)  8 Ag 3.15
Zn  0.5000  0.5000  0.3474 (multiplicity 2)  1 Zn 2.38, 4 Ag 2.55
Ag  0.0000  0.5000  0.2393 (multiplicity 4)  2 Zn 2.55
Ag  0.5000  0.5000  0.0000 (multiplicity 1)  2 Zn 2.71

# 3
DFT (PBE) results for a geometry-optimized PaTlGa2I8 structure.

Summary:
For the mass density, the calculation gives 4.5 g cm⁻³. The calculation puts the total DFT energy (no corrections) at -38.414 eV per cell. The total magnetization is 0.0 μB/cell.

Lattice parameters (Å, degrees): 7.3955 8.0049 9.8105 90.03 90.06 90.38
Last column: nearest neighbours and their distance in Å.
Space group P-1 (No. 2)
One atom of each set of equivalent atoms:
Pa  0.0000  0.0000  0.0000 (multiplicity 1)  6 I 2.93-2.97
Tl  0.0000  0.0000  0.5000 (multiplicity 1)  6 I 3.46-3.51
Ga  0.4998  0.5000  0.2796 (multiplicity 2)  2 I 2.99
I  0.2213  0.6970  0.9997 (multiplicity 2)  1 Pa 2.93
I  0.2380  0.1467  0.2139 (multiplicity 2)  1 Pa 2.97
I  0.2376  0.1472  0.7866 (multiplicity 2)  1 Pa 2.97
I  0.2740  0.6512  0.5001 (multiplicity 2)  2 Ga 2.99

# 4
DFT (PBE) results for a geometry-optimized Zn2CuAgIr structure.

Summary:
For the mass density, the calculation gives 8.3 g cm⁻³. Its density of states at the Fermi level is 3.8 states/eV/f.u. For the formation energy, the calculation gives 6.03 eV per formula unit. The total magnetization is 0.0 μB/cell.

Lattice parameters (Å, degrees): 4.6279 4.6279 4.5959 90.00 90.00 90.00
Last column: nearest neighbours and their distance in Å.
Space group P4/mmm (No. 123)
One atom of each set of equivalent atoms:
Zn  0.0000  0.5000  0.0000 (multiplicity 2)  2 Ag 2.31
Cu  0.0000  0.0000  0.5000 (multiplicity 1)  2 Ag 2.30
Ag  0.0000  0.0000  0.0000 (multiplicity 1)  2 Cu 2.30, 4 Zn 2.31
Ir  0.5000  0.5000  0.5000 (multiplicity 1)  8 Zn 3.26, 4 Cu 3.27